First-principles (GGA-PBEsol) data for crystalline Ba2TiAlGa at its relaxed geometry, as listed in the Alexandria database.

Results
calculated density = 3.943 Mg/m³
ΔE_f = 0.62 eV/atom

Cell: 5.089 5.891 5.891 Å, 90.00 90.00 90.00°
Last column: magnetic moment on the atom in μB.
Positions (direct):
1 Al 0.500 0.000 0.000  0.01
2 Ba 0.000 0.000 0.500  0.14
3 Ba 0.000 0.500 0.000  0.14
4 Ga 0.500 0.500 0.500  -0.04
5 Ti 0.000 0.000 0.000  1.49

=====

First-principles (GGA-PBEsol) data for crystalline YTl2Cl at its relaxed geometry, as listed in the Alexandria database.

Results
energy above the most stable polymorph in this dataset = 361 meV per atom
formation energy from raw total energies = -0.29 eV per atom
calculated density = 8.249 Mg/m³

Cell: 3.565 3.565 9.594 Å, 90.00 90.00 118.31°
Positions (direct):
1 Y 0.500 0.500 0.500
2 Tl 0.000 0.000 0.235
3 Tl 0.000 0.000 0.765
4 Cl 0.500 0.500 0.000

=====

First-principles (GGA-PBEsol) data for crystalline ZnPS2Cl at its relaxed geometry, as listed in the Alexandria database.

Results
formation energy from raw total energies = 1.13 eV per atom
calculated density = 3.423 Mg/m³

Cell: 4.582 4.582 4.529 Å, 90.00 90.00 90.00°
Positions (direct):
1 P 0.000 0.000 0.500
2 Zn 0.500 0.500 0.500
3 S 0.000 0.500 0.000
4 S 0.500 0.000 0.000
5 Cl 0.000 0.000 0.000

=====

First-principles (GGA-PBEsol) data for crystalline Zr2MoRh at its relaxed geometry, as listed in the Alexandria database.

Results
calculated density = 9.025 Mg/m³
ΔE_f = -0.27 eV/atom

Cell: 3.365 4.446 5.456 Å, 114.04 107.96 90.00°
Positions (direct):
1 Mo 0.505 0.005 0.010
2 Rh 0.245 0.245 0.490
3 Zr 0.993 0.493 0.986
4 Zr 0.757 0.757 0.513